1.
NiAg2 after structural relaxation. Source: the Open Quantum Materials Database, functional GGA-PBE. Values from VASP.

Summary:
Its symmetry is Fd-3m. As for the energy relative to the lowest polymorph listed for this composition: 33.9 kJ/mol of atoms. Its total magnetization is 0.01 μB per atom. Its calculated formation energy is 603 meV per atom.

Cell and atoms, written as Quantum ESPRESSO input:
```
&SYSTEM
  ibrav = 0, nat = 6, ntyp = 2
/
ATOMIC_SPECIES
Ag 107.87 Ag.upf
Ni 58.69 Ni.upf
ATOMIC_POSITIONS crystal
Ag 0.6250 0.6250 0.1250
Ag 0.6250 0.1250 0.6250
Ag 0.1250 0.6250 0.6250
Ag 0.6250 0.6250 0.6250
Ni 0.0000 0.0000 0.0000
Ni 0.2500 0.2500 0.2500
CELL_PARAMETERS angstrom
0.0000 3.7272 3.7272
3.7272 0.0000 3.7272
3.7272 3.7272 0.0000
```

---

2.
Ni3Ag after structural relaxation. Source: the Open Quantum Materials Database, functional GGA-PBE. Values from VASP.

Summary:
Its symmetry is Pmmn. Its total magnetization is 0.38 μB per atom. Its calculated formation energy is 227 meV per atom.

Cell and atoms, written as Quantum ESPRESSO input:
```
&SYSTEM
  ibrav = 0, nat = 8, ntyp = 2
/
ATOMIC_SPECIES
Ag 107.87 Ag.upf
Ni 58.69 Ni.upf
ATOMIC_POSITIONS crystal
Ag 0.0000 0.0000 0.1496
Ag 0.5000 0.5000 0.8504
Ni 0.0000 0.5000 0.1941
Ni 0.5000 0.2494 0.3487
Ni 0.5000 0.7506 0.3487
Ni 0.0000 0.2506 0.6513
Ni 0.0000 0.7494 0.6513
Ni 0.5000 0.0000 0.8059
CELL_PARAMETERS angstrom
4.2330 0.0000 0.0000
0.0000 5.1803 0.0000
0.0000 0.0000 4.5713
```

---

3.
NpNiAg after structural relaxation. Source: the Open Quantum Materials Database, functional GGA-PBE. Values from VASP.

Summary:
Its symmetry is F-43m. Its total magnetization is 0.01 μB per atom. Its calculated formation energy is 714 meV per atom.

Cell and atoms, written as Quantum ESPRESSO input:
```
&SYSTEM
  ibrav = 0, nat = 3, ntyp = 3
/
ATOMIC_SPECIES
Ag 107.87 Ag.upf
Ni 58.69 Ni.upf
Np 237.00 Np.upf
ATOMIC_POSITIONS crystal
Ag 0.0000 0.0000 0.0000
Ni 0.2500 0.2500 0.2500
Np 0.5000 0.5000 0.5000
CELL_PARAMETERS angstrom
-3.5646 1.8776 1.7134
-2.0939 3.1462 -2.2103
-3.9407 -0.7947 -1.7341
```

---

4.
ScNiAgPb after structural relaxation. Source: the Open Quantum Materials Database, functional GGA-PBE. Values from VASP.

Summary:
Its symmetry is F-43m. As for the total energy: -4.718 eV per atom. Its total magnetization is 0.00 μB per atom.

Cell and atoms, written as Quantum ESPRESSO input:
```
&SYSTEM
  ibrav = 0, nat = 4, ntyp = 4
/
ATOMIC_SPECIES
Ag 107.87 Ag.upf
Ni 58.69 Ni.upf
Pb 207.20 Pb.upf
Sc 44.96 Sc.upf
ATOMIC_POSITIONS crystal
Ag 0.5000 0.5000 0.5000
Ni 0.7500 0.7500 0.7500
Pb 0.0000 0.0000 0.0000
Sc 0.2500 0.2500 0.2500
CELL_PARAMETERS angstrom
-2.3832 -3.4357 2.1890
-0.6831 0.2046 4.6655
-4.3136 0.8454 1.7186
```

---

5.
TaNiAgPb after structural relaxation. Source: the Open Quantum Materials Database, functional GGA-PBE. Values from VASP.

Summary:
Its symmetry is F-43m. As for the total energy: -5.416 eV per atom. Its total magnetization is 0.00 μB per atom.

Cell and atoms, written as Quantum ESPRESSO input:
```
&SYSTEM
  ibrav = 0, nat = 4, ntyp = 4
/
ATOMIC_SPECIES
Ag 107.87 Ag.upf
Ni 58.69 Ni.upf
Pb 207.20 Pb.upf
Ta 180.95 Ta.upf
ATOMIC_POSITIONS crystal
Ag 0.5000 0.5000 0.5000
Ni 0.7500 0.7500 0.7500
Pb 0.0000 0.0000 0.0000
Ta 0.2500 0.2500 0.2500
CELL_PARAMETERS angstrom
0.0000 3.2980 3.2980
3.2980 0.0000 3.2980
3.2980 3.2980 0.0000
```

---

6.
Ni2AgPd2 after structural relaxation. Source: the Open Quantum Materials Database, functional GGA-PBE. Values from VASP.

Summary:
Its symmetry is I4/mmm. As for the energy relative to the lowest polymorph listed for this composition: 0.0 kJ/mol of atoms. Its total magnetization is 0.39 μB per atom. Its calculated formation energy is 324 meV per atom.

Cell and atoms, written as Quantum ESPRESSO input:
```
&SYSTEM
  ibrav = 0, nat = 5, ntyp = 3
/
ATOMIC_SPECIES
Ag 107.87 Ag.upf
Ni 58.69 Ni.upf
Pd 106.42 Pd.upf
ATOMIC_POSITIONS crystal
Ag 0.0000 0.0000 0.0000
Ni 0.7500 0.2500 0.5000
Ni 0.2500 0.7500 0.5000
Pd 0.3925 0.3925 0.0000
Pd 0.6075 0.6075 0.0000
CELL_PARAMETERS angstrom
1.4759 6.0194 1.4196
-2.8925 5.5397 -1.1714
-0.5722 -5.9837 2.0726
```